[1]
A plane-wave DFT calculation with PBE was carried out for an optimized crystal structure of TiV2Co.

Structure (POSCAR):
```
TiV2Co
1.0
4.194 0.000 0.000
2.097 3.632 0.000
2.097 1.211 3.425
V Co Ti
2 1 1
Direct
0.250 0.250 0.250 V
0.750 0.750 0.750 V
0.000 0.000 0.000 Co
0.500 0.500 0.500 Ti
```

Calculated values
The value obtained for the energy above the lowest structure with this stoichiometry is 0.614 eV per formula unit. The density of states at the Fermi level comes out at 3.5 states/eV/cell. For the formation energy, the calculation gives -0.01 eV per atom.



[2]
A plane-wave DFT calculation with PBE was carried out for an optimized crystal structure of TiV2Co.

Structure (POSCAR):
```
TiV2Co
1.0
2.920 0.000 0.000
0.000 2.920 0.000
0.000 0.000 6.294
V Co Ti
2 1 1
Direct
0.000 0.000 0.230 V
0.000 0.000 0.770 V
0.500 0.500 0.000 Co
0.500 0.500 0.500 Ti
```

Calculated values
The value obtained for the energy above the lowest structure with this stoichiometry is 0.479 eV per formula unit. The density of states at the Fermi level comes out at 3.3 states/eV/cell. For the formation energy, the calculation gives -0.04 eV per atom.



[3]
A plane-wave DFT calculation with PBE was carried out for an optimized crystal structure of TiVCo2.

Structure (POSCAR):
```
TiVCo2
1.0
2.953 0.000 0.000
0.000 4.148 0.000
0.000 0.000 4.148
Ti Co V
1 2 1
Direct
0.500 0.500 0.500 Ti
0.000 0.000 0.500 Co
0.000 0.500 0.000 Co
0.500 0.000 0.000 V
```

Calculated values
The value obtained for the energy above the lowest structure with this stoichiometry is 0.000 eV per formula unit. The density of states at the Fermi level comes out at 4.8 states/eV/cell. For the formation energy, the calculation gives -0.22 eV per atom.



[4]
A plane-wave DFT calculation with PBE was carried out for an optimized crystal structure of TiV8Co2.

Structure (POSCAR):
```
TiV8Co2
1.0
-4.476 1.093 -1.214
0.281 -2.604 -6.475
-1.352 -5.925 -3.444
V Ti Co
8 1 2
Direct
0.886 0.212 0.211 V
0.110 0.414 0.414 V
0.616 0.153 0.650 V
0.616 0.650 0.153 V
0.890 0.586 0.586 V
0.384 0.847 0.350 V
0.384 0.350 0.847 V
0.114 0.788 0.789 V
0.000 0.000 0.000 Ti
0.392 0.259 0.259 Co
0.608 0.741 0.741 Co
```

Calculated values
The density of states at the Fermi level comes out at 15.6 states/eV/cell. For the formation energy, the calculation gives 0.06 eV per atom.



[5]
A plane-wave DFT calculation with PBE was carried out for an optimized crystal structure of TiVCo6.

Structure (POSCAR):
```
TiVCo6
1.0
-2.133 -3.284 4.725
-2.057 -2.387 -5.266
8.087 -5.930 -0.471
Ti Co V
4 24 4
Direct
0.500 0.500 0.249 Ti
0.748 0.252 0.000 Ti
0.252 0.748 0.000 Ti
0.500 0.500 0.751 Ti
0.120 0.372 0.623 Co
0.878 0.630 0.128 Co
0.000 0.000 0.000 Co
0.630 0.878 0.872 Co
0.752 0.248 0.254 Co
0.500 0.500 0.000 Co
0.878 0.630 0.872 Co
0.372 0.120 0.623 Co
0.370 0.122 0.872 Co
0.372 0.120 0.377 Co
0.500 0.500 0.500 Co
0.752 0.248 0.746 Co
0.628 0.880 0.623 Co
0.122 0.370 0.128 Co
0.370 0.122 0.128 Co
0.000 0.000 0.500 Co
0.248 0.752 0.254 Co
0.880 0.628 0.377 Co
0.630 0.878 0.128 Co
0.120 0.372 0.377 Co
0.122 0.370 0.872 Co
0.880 0.628 0.623 Co
0.628 0.880 0.377 Co
0.248 0.752 0.746 Co
0.000 0.000 0.751 V
0.000 0.000 0.249 V
0.748 0.252 0.500 V
0.252 0.748 0.500 V
```

Calculated values
The value obtained for the energy above the lowest structure with this stoichiometry is 0.000 eV per formula unit. The density of states at the Fermi level comes out at 41.7 states/eV/cell. For the formation energy, the calculation gives -0.21 eV per atom.



[6]
A plane-wave DFT calculation with PBE was carried out for an optimized crystal structure of TiV2Co6.

Structure (POSCAR):
```
TiV2Co6
1.0
5.298 0.000 0.000
0.000 4.249 -2.453
0.000 0.000 4.906
Co V Ti
6 2 1
Direct
0.829 0.822 0.643 Co
0.829 0.822 0.178 Co
0.171 0.178 0.357 Co
0.171 0.643 0.822 Co
0.171 0.178 0.822 Co
0.829 0.357 0.178 Co
0.654 0.333 0.667 V
0.346 0.667 0.333 V
0.500 0.000 0.000 Ti
```

Calculated values
The value obtained for the energy above the lowest structure with this stoichiometry is 0.000 eV per formula unit. The density of states at the Fermi level comes out at 11.7 states/eV/cell. For the formation energy, the calculation gives 0.08 eV per atom.



[7]
A plane-wave DFT calculation with PBE was carried out for an optimized crystal structure of Ti5VCo6.

Structure (POSCAR):
```
Ti5VCo6
1.0
0.860 -0.567 -4.051
1.690 -6.191 3.387
-6.784 2.551 0.364
Co Ti V
6 5 1
Direct
0.254 0.086 0.421 Co
0.759 0.259 0.259 Co
0.746 0.914 0.579 Co
0.254 0.421 0.086 Co
0.241 0.741 0.741 Co
0.746 0.579 0.914 Co
0.000 0.331 0.669 Ti
0.500 0.159 0.841 Ti
0.000 0.669 0.331 Ti
0.500 0.500 0.500 Ti
0.500 0.841 0.159 Ti
0.000 0.000 0.000 V
```

Calculated values
The density of states at the Fermi level comes out at 11.0 states/eV/cell. For the formation energy, the calculation gives -0.33 eV per atom.



[8]
A plane-wave DFT calculation with PBE was carried out for an optimized crystal structure of Ti2VCo.

Structure (POSCAR):
```
Ti2VCo
1.0
-1.659 0.456 2.502
3.495 -0.595 2.427
0.855 4.206 -0.200
V Co Ti
1 1 2
Direct
0.500 0.500 0.500 V
0.500 0.000 0.000 Co
0.000 0.500 0.000 Ti
0.000 0.000 0.500 Ti
```

Calculated values
The value obtained for the energy above the lowest structure with this stoichiometry is 0.168 eV per formula unit. The density of states at the Fermi level comes out at 6.1 states/eV/cell. For the formation energy, the calculation gives -0.15 eV per atom.



[9]
A plane-wave DFT calculation with PBE was carried out for an optimized crystal structure of Ti2VCo2.

Structure (POSCAR):
```
Ti2VCo2
1.0
7.072 0.000 0.000
0.000 7.072 0.000
0.000 0.000 2.711
Ti Co V
4 4 2
Direct
0.653 0.153 0.000 Ti
0.153 0.347 0.000 Ti
0.847 0.653 0.000 Ti
0.347 0.847 0.000 Ti
0.353 0.147 0.500 Co
0.853 0.353 0.500 Co
0.147 0.647 0.500 Co
0.647 0.853 0.500 Co
0.500 0.500 0.000 V
0.000 0.000 0.000 V
```

Calculated values
The value obtained for the energy above the lowest structure with this stoichiometry is 0.248 eV per formula unit. The density of states at the Fermi level comes out at 8.6 states/eV/cell. For the formation energy, the calculation gives -0.08 eV per atom.



[10]
A plane-wave DFT calculation with PBE was carried out for an optimized crystal structure of TiV2Co.

Structure (POSCAR):
```
TiV2Co
1.0
4.405 0.000 0.000
0.000 3.488 0.000
0.000 0.000 3.488
V Ti Co
2 1 1
Direct
0.000 0.000 0.500 V
0.000 0.500 0.000 V
0.500 0.500 0.500 Ti
0.500 0.000 0.000 Co
```

Calculated values
The value obtained for the energy above the lowest structure with this stoichiometry is 0.469 eV per formula unit. The density of states at the Fermi level comes out at 6.1 states/eV/cell. For the formation energy, the calculation gives -0.04 eV per atom.



[11]
A plane-wave DFT calculation with PBE was carried out for an optimized crystal structure of Ti2VCo.

Structure (POSCAR):
```
Ti2VCo
1.0
3.000 0.000 0.000
0.000 3.000 0.000
0.000 0.000 6.254
Ti V Co
2 1 1
Direct
0.000 0.000 0.761 Ti
0.000 0.000 0.239 Ti
0.500 0.500 0.500 V
0.500 0.500 0.000 Co
```

Calculated values
The value obtained for the energy above the lowest structure with this stoichiometry is 0.000 eV per formula unit. The density of states at the Fermi level comes out at 5.1 states/eV/cell. For the formation energy, the calculation gives -0.19 eV per atom.



[12]
A plane-wave DFT calculation with PBE was carried out for an optimized crystal structure of TiV2Co5.

Structure (POSCAR):
```
TiV2Co5
1.0
3.868 0.000 -1.450
-0.544 3.830 -1.450
0.143 0.165 6.266
Co Ti V
5 1 2
Direct
0.867 0.367 0.734 Co
0.133 0.633 0.266 Co
0.633 0.133 0.266 Co
0.500 0.500 0.000 Co
0.367 0.867 0.734 Co
0.000 0.000 0.000 Ti
0.734 0.734 0.468 V
0.266 0.266 0.532 V
```

Calculated values
The density of states at the Fermi level comes out at 9.3 states/eV/cell. For the formation energy, the calculation gives -0.12 eV per atom.